P2IrBr: optimized geometry, GGA-PBE.

Space-group type: P4/mmm
D(E_F), states/eV per atom: 0.660
E_tot, eV/atom: -4.314
Excess energy over the best structure of this formula in the dataset, eV per atom: 1.231
Energy relative to the elements, uncorrected, meV/atom: 1024.4

Cell lengths 4.8832, 3.7055, 3.7055 Å; angles 90.00, 90.00, 90.00 degrees
With the nearest neighbours (Å) after each atom.
Fractional positions:
P1 0.0000 0.5000 0.5000  4 P 2.62
Br1 0.5000 0.5000 0.0000  4 Ir 2.62
Ir1 0.5000 0.0000 0.5000  4 Br 2.62
P2 0.0000 0.0000 0.0000  4 P 2.62